No. 1
A relaxed structure of AlAg7, computed with PBEsol.

a = 5.6790 Å, b = 8.0627 Å, c = 11.4341 Å
α = 90.00°, β = 90.00°, γ = 90.00°
Closest atoms and distances in Å follow each position.
Space group Fmmm (No. 69)
One atom of each set of equivalent atoms:
Al: 0.0000 0.0000 0.0000 x4  12 Ag 2.81-2.84
Ag: 0.0000 0.0000 0.2456 x8  1 Al 2.81, 11 Ag 2.83-2.91
Ag: 0.0000 0.0000 0.5000 x4  2 Al 2.84, 10 Ag 2.84-2.91
Ag: 0.2500 0.2500 0.1233 x16  10 Ag 2.82-2.90, 2 Al 2.84

DFT formation energy: -0.4 eV per formula unit
Calculated volume: 16.36 Å³/atom
Fermi-level density of states: 9.69 states/eV/cell
Calculated total energy: -3.458 eV per atom
Density: 9.9 g/cm³
Energy above the lowest structure with this stoichiometry: 1 meV/atom

No. 2
A relaxed structure of Ca2PRu, computed with PBEsol.

a = 10.4132 Å, b = 3.6517 Å, c = 4.8607 Å
α = 90.00°, β = 113.62°, γ = 90.00°
Closest atoms and distances in Å follow each position.
Space group Cm (No. 8)
One atom of each set of equivalent atoms:
Ca: 0.0000 0.0000 0.0000 x2  2 Ru 2.85-3.17, 4 P 3.08-3.09, 2 Ca 3.08-3.10
Ca: 0.2001 0.0000 0.6732 x2  3 P 3.05-3.12, 4 Ca 3.08-3.41, 4 Ru 3.13-3.33
P: 0.4438 0.0000 0.4532 x2  2 Ru 2.21
Ru: 0.3145 0.5000 0.2997 x2  2 P 2.21

DFT formation energy: -1.7 eV per formula unit
Calculated volume: 21.17 Å³/atom
Fermi-level density of states: 4.58 states/eV/cell
Calculated total energy: -5.473 eV per atom
Density: 4.2 g/cm³

No. 3
A relaxed structure of Mn2AlCo, computed with PBEsol.

a = 2.8559 Å, b = 3.9157 Å, c = 4.0311 Å
α = 90.00°, β = 90.00°, γ = 90.00°
Closest atoms and distances in Å follow each position.
Space group Pmmm (No. 47)
One atom of each set of equivalent atoms:
Mn: 0.0000 0.0000 0.0000 x1  4 Mn 2.42, 4 Co 2.47
Mn: 0.5000 0.5000 0.0000 x1  4 Mn 2.42, 4 Al 2.47
Al: 0.0000 0.5000 0.5000 x1  4 Co 2.42, 4 Mn 2.47
Co: 0.5000 0.0000 0.5000 x1  4 Al 2.42, 4 Mn 2.47

DFT formation energy: -0.7 eV per formula unit
Calculated volume: 11.27 Å³/atom
Fermi-level density of states: 2.75 states/eV/cell
Calculated total energy: -8.001 eV per atom
Density: 7.2 g/cm³
Energy above the lowest structure with this stoichiometry: 63 meV/atom

No. 4
A relaxed structure of TaMoRu2, computed with PBEsol.

a = 2.7827 Å, b = 2.7827 Å, c = 26.6715 Å
α = 90.00°, β = 90.00°, γ = 120.00°
Closest atoms and distances in Å follow each position.
Space group R-3m (No. 166, hexagonal axes)
One atom of each set of equivalent atoms:
Ta: 0.0000 0.0000 0.0000 x3  6 Ta 2.78, 6 Ru 2.79
Mo: 0.0000 0.0000 0.5000 x3  6 Ru 2.69, 6 Mo 2.78
Ru: 0.0000 0.0000 0.2476 x6  3 Mo 2.69, 6 Ru 2.78, 3 Ta 2.79

DFT formation energy: 0.4 eV per formula unit
Calculated volume: 14.90 Å³/atom
Fermi-level density of states: 12.48 states/eV/cell
Calculated total energy: -11.060 eV per atom
Density: 13.3 g/cm³
Energy above the lowest structure with this stoichiometry: 150 meV/atom

No. 5
A relaxed structure of MnCrRu2, computed with PBEsol.

a = 3.6964 Å, b = 3.6964 Å, c = 7.1762 Å
α = 90.00°, β = 90.00°, γ = 90.00°
Closest atoms and distances in Å follow each position.
Space group I4/mmm (No. 139)
One atom of each set of equivalent atoms:
Mn: 0.0000 0.0000 0.0000 x2  8 Ru 2.58, 4 Cr 2.61
Cr: 0.0000 0.0000 0.5000 x2  8 Ru 2.58, 4 Mn 2.61
Ru: 0.0000 0.5000 0.2500 x4  4 Cr 2.58, 4 Mn 2.58, 4 Ru 2.61

DFT formation energy: 0.5 eV per formula unit
Calculated volume: 12.26 Å³/atom
Fermi-level density of states: 9.62 states/eV/cell
Calculated total energy: -9.962 eV per atom
Density: 10.5 g/cm³

No. 6
A relaxed structure of TaAlPt2, computed with PBEsol.

a = 5.6329 Å, b = 7.8298 Å, c = 2.7769 Å
α = 90.00°, β = 90.00°, γ = 90.00°
Closest atoms and distances in Å follow each position.
Space group Cmmm (No. 65)
One atom of each set of equivalent atoms:
Ta: 0.0000 0.0000 0.0000 x2  2 Ta 2.78, 8 Pt 2.78, 2 Al 2.82
Al: 0.0000 0.5000 0.0000 x2  2 Al 2.78, 8 Pt 2.78, 2 Ta 2.82
Pt: 0.2500 0.2500 0.5000 x4  4 Pt 2.78-2.82, 4 Ta 2.78, 4 Al 2.78

DFT formation energy: -2.5 eV per formula unit
Calculated volume: 15.31 Å³/atom
Fermi-level density of states: 5.07 states/eV/cell
Calculated total energy: -8.279 eV per atom
Density: 16.2 g/cm³

no.,magnetic moment (Bohr magnetons per cell)
1,0.0
2,0.0
3,2.0
4,0.0
5,1.8
6,0.0